# LiMn2F5

Crystalline LiMn2F5 at its relaxed geometry (PBE with a Hubbard U, Alexandria via LeMat-Bulk).

Calculated values
M_tot ... 1.250 μB per atom
Space-group type ... C2/c
Distance to the lowest polymorph of the same formula ... 0.0111 eV per atom

a b c (Å): 6.9096 6.9096 5.4530
angles (deg): 93.93 93.93 43.60
Last column: nearest neighbours and their distance in Å.
Atoms (fractional coordinates):
1 Li 0.0000 0.5000 0.0000  6 F 1.97-2.10
2 Li 0.5000 0.0000 0.5000  6 F 1.97-2.10
3 Mn 0.1221 0.6733 0.4476  5 F 2.10-2.26
4 Mn 0.3267 0.8779 0.0524  5 F 2.10-2.26
5 Mn 0.6733 0.1221 0.9476  5 F 2.10-2.26
6 Mn 0.8779 0.3267 0.5524  5 F 2.10-2.26
7 F 0.0525 0.9475 0.7500  4 Mn 2.21-2.26
8 F 0.1458 0.2688 0.3058  2 Li 1.97-2.04, 1 Mn 2.14
9 F 0.2688 0.1458 0.8058  2 Li 1.97-2.04, 1 Mn 2.14
10 F 0.2976 0.5038 0.0935  2 Mn 2.10-2.13, 1 Li 2.10
11 F 0.4962 0.7024 0.4065  2 Mn 2.10-2.13, 1 Li 2.10
12 F 0.5038 0.2976 0.5935  2 Mn 2.10-2.13, 1 Li 2.10
13 F 0.7024 0.4962 0.9065  2 Mn 2.10-2.13, 1 Li 2.10
14 F 0.7312 0.8542 0.1942  2 Li 1.97-2.04, 1 Mn 2.14
15 F 0.8542 0.7312 0.6942  2 Li 1.97-2.04, 1 Mn 2.14
16 F 0.9475 0.0525 0.2500  4 Mn 2.21-2.26

# LiMnF5

Crystalline LiMnF5 at its relaxed geometry (PBE with a Hubbard U, Alexandria via LeMat-Bulk).

Calculated values
M_tot ... 0.437 μB per atom
Space-group type ... P-1
Distance to the lowest polymorph of the same formula ... 0.0000 eV per atom

a b c (Å): 5.5632 5.6577 7.1477
angles (deg): 103.91 101.03 109.07
Last column: nearest neighbours and their distance in Å.
Atoms (fractional coordinates):
1 Li 0.1861 0.3148 0.2476  4 F 1.89-1.91
2 Li 0.8139 0.6852 0.7524  4 F 1.89-1.91
3 Mn 0.5000 0.0000 0.0000  6 F 1.82-1.91
4 Mn 0.5000 0.0000 0.5000  6 F 1.82-1.91
5 F 0.1464 0.8106 0.9499  1 Mn 1.82, 1 Li 1.89
6 F 0.2270 0.0862 0.3987  1 Mn 1.82, 1 Li 1.91
7 F 0.2707 0.6566 0.4273  1 Mn 1.82, 1 Li 1.89
8 F 0.4236 0.0740 0.7528  2 Mn 1.91
9 F 0.4603 0.2992 0.1250  1 Mn 1.82, 1 Li 1.91
10 F 0.5397 0.7008 0.8750  1 Mn 1.82, 1 Li 1.91
11 F 0.5764 0.9260 0.2472  2 Mn 1.91
12 F 0.7293 0.3434 0.5727  1 Mn 1.82, 1 Li 1.89
13 F 0.7730 0.9138 0.6013  1 Mn 1.82, 1 Li 1.91
14 F 0.8536 0.1894 0.0501  1 Mn 1.82, 1 Li 1.89

# Li2MnF4

Crystalline Li2MnF4 at its relaxed geometry (PBE with a Hubbard U, Alexandria via LeMat-Bulk).

Calculated values
M_tot ... 0.714 μB per atom
Space-group type ... C2/c
Distance to the lowest polymorph of the same formula ... 0.0022 eV per atom

a b c (Å): 5.9237 5.9237 5.4549
angles (deg): 93.40 93.40 58.37
Last column: nearest neighbours and their distance in Å.
Atoms (fractional coordinates):
1 Li 0.0530 0.3491 0.2866  4 F 1.92-2.03
2 Li 0.3491 0.0530 0.7866  4 F 1.92-2.03
3 Li 0.6509 0.9470 0.2134  4 F 1.92-2.03
4 Li 0.9470 0.6509 0.7134  4 F 1.92-2.03
5 Mn 0.3419 0.6581 0.2500  6 F 2.12-2.19
6 Mn 0.6581 0.3419 0.7500  6 F 2.12-2.19
7 F 0.0161 0.2834 0.6210  3 Li 1.92-2.03, 1 Mn 2.12
8 F 0.2695 0.5039 0.9098  1 Li 1.92, 1 Mn 2.14
9 F 0.2834 0.0161 0.1210  3 Li 1.92-2.03, 1 Mn 2.12
10 F 0.4961 0.7305 0.5902  1 Li 1.92, 1 Mn 2.14
11 F 0.5039 0.2695 0.4098  1 Li 1.92, 1 Mn 2.14
12 F 0.7166 0.9839 0.8790  3 Li 1.92-2.03, 1 Mn 2.12
13 F 0.7305 0.4961 0.0902  1 Li 1.92, 1 Mn 2.14
14 F 0.9839 0.7166 0.3790  3 Li 1.92-2.03, 1 Mn 2.12

# LiMnF5

Crystalline LiMnF5 at its relaxed geometry (PBE with a Hubbard U, Alexandria via LeMat-Bulk).

Calculated values
M_tot ... 0.425 μB per atom
Space-group type ... I4_1/a
Distance to the lowest polymorph of the same formula ... 0.0023 eV per atom

a b c (Å): 11.3485 11.3485 11.3485
angles (deg): 94.24 94.24 148.44
Last column: nearest neighbours and their distance in Å.
Atoms (fractional coordinates):
1 Li 0.1500 0.1809 0.3263  4 F 1.98-2.00
2 Li 0.3191 0.1454 0.9691  4 F 1.98-2.00
3 Li 0.3236 0.6500 0.4691  4 F 1.98-2.00
4 Li 0.3546 0.8236 0.1737  4 F 1.98-2.00
5 Li 0.6454 0.1764 0.8263  4 F 1.98-2.00
6 Li 0.6764 0.3500 0.5309  4 F 1.98-2.00
7 Li 0.6809 0.8546 0.0309  4 F 1.98-2.00
8 Li 0.8500 0.8191 0.6737  4 F 1.98-2.00
9 Mn 0.1526 0.7103 0.8419  6 F 1.79-1.96
10 Mn 0.1894 0.3474 0.0577  6 F 1.79-1.96
11 Mn 0.2103 0.8684 0.5577  6 F 1.79-1.96
12 Mn 0.3684 0.3106 0.6581  6 F 1.79-1.96
13 Mn 0.6316 0.6894 0.3419  6 F 1.79-1.96
14 Mn 0.7897 0.1316 0.4423  6 F 1.79-1.96
15 Mn 0.8106 0.6526 0.9423  6 F 1.79-1.96
16 Mn 0.8474 0.2897 0.1581  6 F 1.79-1.96
17 F 0.0439 0.1594 0.1638  1 Mn 1.84, 1 Li 2.00
18 F 0.0492 0.5855 0.2105  1 Mn 1.81, 1 Li 1.98
19 F 0.0562 0.6842 0.6783  2 Mn 1.95-1.96
20 F 0.0855 0.3750 0.5363  1 Mn 1.81, 1 Li 1.98
21 F 0.0883 0.8910 0.0535  1 Mn 1.79, 1 Li 2.00
22 F 0.1221 0.4438 0.1280  2 Mn 1.95-1.96
23 F 0.1250 0.1613 0.7105  1 Mn 1.81, 1 Li 1.98
24 F 0.1842 0.0058 0.6280  2 Mn 1.95-1.96
25 F 0.2302 0.7362 0.9963  1 Mn 1.79, 1 Li 1.98
26 F 0.2362 0.7399 0.5059  1 Mn 1.79, 1 Li 1.98
27 F 0.2399 0.2340 0.5037  1 Mn 1.79, 1 Li 1.98
28 F 0.2660 0.2698 0.0059  1 Mn 1.79, 1 Li 1.98
29 F 0.3374 0.0348 0.4465  1 Mn 1.79, 1 Li 2.00
30 F 0.3387 0.5492 0.9637  1 Mn 1.81, 1 Li 1.98
31 F 0.3406 0.0044 0.8845  1 Mn 1.84, 1 Li 2.00
32 F 0.3801 0.5439 0.3845  1 Mn 1.84, 1 Li 2.00
33 F 0.3910 0.8374 0.8027  1 Mn 1.79, 1 Li 2.00
34 F 0.4652 0.4117 0.3027  1 Mn 1.79, 1 Li 2.00
35 F 0.4942 0.6221 0.1783  2 Mn 1.95-1.96
36 F 0.4956 0.8801 0.3362  1 Mn 1.84, 1 Li 2.00
37 F 0.5044 0.1199 0.6638  1 Mn 1.84, 1 Li 2.00
38 F 0.5058 0.3779 0.8217  2 Mn 1.95-1.96
39 F 0.5348 0.5883 0.6973  1 Mn 1.79, 1 Li 2.00
40 F 0.6090 0.1626 0.1973  1 Mn 1.79, 1 Li 2.00
41 F 0.6199 0.4561 0.6155  1 Mn 1.84, 1 Li 2.00
42 F 0.6594 0.9956 0.1155  1 Mn 1.84, 1 Li 2.00
43 F 0.6613 0.4508 0.0363  1 Mn 1.81, 1 Li 1.98
44 F 0.6626 0.9652 0.5535  1 Mn 1.79, 1 Li 2.00
45 F 0.7340 0.7302 0.9941  1 Mn 1.79, 1 Li 1.98
46 F 0.7601 0.7660 0.4963  1 Mn 1.79, 1 Li 1.98
47 F 0.7638 0.2601 0.4941  1 Mn 1.79, 1 Li 1.98
48 F 0.7698 0.2638 0.0037  1 Mn 1.79, 1 Li 1.98
49 F 0.8158 0.9942 0.3720  2 Mn 1.95-1.96
50 F 0.8750 0.8387 0.2895  1 Mn 1.81, 1 Li 1.98
51 F 0.8779 0.5562 0.8720  2 Mn 1.95-1.96
52 F 0.9117 0.1090 0.9465  1 Mn 1.79, 1 Li 2.00
53 F 0.9145 0.6250 0.4637  1 Mn 1.81, 1 Li 1.98
54 F 0.9438 0.3158 0.3217  2 Mn 1.95-1.96
55 F 0.9508 0.4145 0.7895  1 Mn 1.81, 1 Li 1.98
56 F 0.9561 0.8406 0.8362  1 Mn 1.84, 1 Li 2.00

# LiMnF5

Crystalline LiMnF5 at its relaxed geometry (PBE with a Hubbard U, Alexandria via LeMat-Bulk).

Calculated values
M_tot ... 0.438 μB per atom
Space-group type ... P-1
Distance to the lowest polymorph of the same formula ... 0.0011 eV per atom

a b c (Å): 5.3389 5.7199 7.1040
angles (deg): 111.24 90.23 109.65
Last column: nearest neighbours and their distance in Å.
Atoms (fractional coordinates):
1 Li 0.1244 0.3124 0.3309  4 F 1.94-1.97
2 Li 0.8756 0.6876 0.6691  4 F 1.94-1.97
3 Mn 0.5000 0.0000 0.0000  6 F 1.82-1.92
4 Mn 0.5000 0.0000 0.5000  6 F 1.81-1.90
5 F 0.1482 0.8013 0.8974  1 Mn 1.82, 1 Li 1.94
6 F 0.2135 0.7016 0.4851  1 Mn 1.84, 1 Li 1.97
7 F 0.2718 0.1737 0.5014  1 Mn 1.81, 1 Li 1.96
8 F 0.4066 0.2800 0.1560  1 Mn 1.82, 1 Li 1.97
9 F 0.4582 0.8578 0.2095  2 Mn 1.90-1.92
10 F 0.5418 0.1422 0.7905  2 Mn 1.90-1.92
11 F 0.5934 0.7200 0.8440  1 Mn 1.82, 1 Li 1.97
12 F 0.7282 0.8263 0.4986  1 Mn 1.81, 1 Li 1.96
13 F 0.7865 0.2984 0.5149  1 Mn 1.84, 1 Li 1.97
14 F 0.8518 0.1987 0.1026  1 Mn 1.82, 1 Li 1.94

# Li2MnF4

Crystalline Li2MnF4 at its relaxed geometry (PBE with a Hubbard U, Alexandria via LeMat-Bulk).

Calculated values
M_tot ... 0.714 μB per atom
Space-group type ... P4_322
Distance to the lowest polymorph of the same formula ... 0.0000 eV per atom

a b c (Å): 6.1180 6.1180 8.6038
angles (deg): 90.00 90.00 90.00
Last column: nearest neighbours and their distance in Å.
Atoms (fractional coordinates):
1 Li 0.0000 0.2141 0.0000  6 F 1.98-2.21
2 Li 0.0000 0.7859 0.5000  6 F 1.98-2.21
3 Li 0.2141 0.0000 0.2500  6 F 1.98-2.21
4 Li 0.2507 0.2507 0.6250  4 F 1.94-1.99
5 Li 0.2507 0.7493 0.8750  4 F 1.94-1.99
6 Li 0.7493 0.2507 0.3750  4 F 1.94-1.99
7 Li 0.7493 0.7493 0.1250  4 F 1.94-1.99
8 Li 0.7859 0.0000 0.7500  6 F 1.98-2.21
9 Mn 0.2248 0.5000 0.2500  6 F 2.09-2.18
10 Mn 0.5000 0.2248 0.0000  6 F 2.09-2.18
11 Mn 0.5000 0.7752 0.5000  6 F 2.09-2.18
12 Mn 0.7752 0.5000 0.7500  6 F 2.09-2.18
13 F 0.9997 0.2428 0.2374  3 Li 1.94-2.05, 1 Mn 2.09
14 F 0.0003 0.2428 0.7626  3 Li 1.94-2.05, 1 Mn 2.09
15 F 0.9997 0.7572 0.2626  3 Li 1.94-2.05, 1 Mn 2.09
16 F 0.0003 0.7572 0.7374  3 Li 1.94-2.05, 1 Mn 2.09
17 F 0.2428 0.9997 0.0126  3 Li 1.94-2.05, 1 Mn 2.09
18 F 0.2428 0.0003 0.4874  3 Li 1.94-2.05, 1 Mn 2.09
19 F 0.2485 0.4774 0.0013  2 Li 1.99-2.21, 2 Mn 2.15-2.18
20 F 0.2485 0.5226 0.4987  2 Li 1.99-2.21, 2 Mn 2.15-2.18
21 F 0.4774 0.2485 0.2487  2 Li 1.99-2.21, 2 Mn 2.15-2.18
22 F 0.4774 0.7515 0.2513  2 Li 1.99-2.21, 2 Mn 2.15-2.18
23 F 0.5226 0.2485 0.7513  2 Li 1.99-2.21, 2 Mn 2.15-2.18
24 F 0.5226 0.7515 0.7487  2 Li 1.99-2.21, 2 Mn 2.15-2.18
25 F 0.7515 0.4774 0.9987  2 Li 1.99-2.21, 2 Mn 2.15-2.18
26 F 0.7515 0.5226 0.5013  2 Li 1.99-2.21, 2 Mn 2.15-2.18
27 F 0.7572 0.0003 0.5126  3 Li 1.94-2.05, 1 Mn 2.09
28 F 0.7572 0.9997 0.9874  3 Li 1.94-2.05, 1 Mn 2.09